# TbPr8Sm6

A relaxed TbPr8Sm6 crystal (PBE, Alexandria).

```
15
Lattice="9.568 0.000 0.000 -4.784 8.286 0.000 0.000 0.000 6.723" Properties=species:S:1:pos:R:3 pbc="T T T"
Tb 0.000 0.000 0.000
Pr -3.271 6.191 4.469
Pr 1.058 2.358 4.469
Pr 2.571 0.262 2.253
Pr 0.000 5.524 4.127
Pr 4.784 2.762 2.596
Pr 2.213 8.024 4.469
Pr 3.726 5.928 2.253
Pr 8.055 2.096 2.253
Sm -2.290 5.431 1.051
Sm 1.226 3.587 1.051
Sm 3.719 0.732 5.672
Sm 1.065 7.554 1.051
Sm 3.559 4.699 5.672
Sm 7.074 2.855 5.672
```

Computed properties:
Space group   P-3 (147)
Energy above the most stable polymorph in this dataset   12.8 meV/atom
Total energy   -4.58 eV per atom
Fermi-level density of states   23.0 states/eV/cell
DFT formation energy   0.164 eV per atom